Entry 1:
# Be2Co3C, relaxed, DFT PBE
# ΔE_f in kJ per mole of atoms: -10.94
# Energy in eV per atom: -6.45
data_Be2Co3C
_cell_length_a 5.973
_cell_length_b 5.973
_cell_length_c 5.973
_cell_angle_alpha 90.00
_cell_angle_beta 90.00
_cell_angle_gamma 90.00
_symmetry_space_group_name_H-M 'P 1'
_symmetry_Int_Tables_number 1
loop_
_symmetry_equiv_pos_as_xyz
'x,y,z'
loop_
_atom_site_label
_atom_site_fract_x
_atom_site_fract_y
_atom_site_fract_z
_atom_site_occupancy
Co1 0.445 0.125 0.195 1
Co2 0.195 0.445 0.125 1
C1 0.375 0.375 0.375 1
Be1 0.933 0.567 0.433 1
Be2 0.433 0.933 0.567 1
Be3 0.683 0.683 0.683 1
Co3 0.305 0.555 0.625 1
Co4 0.875 0.695 0.055 1
Co5 0.125 0.195 0.445 1
Co6 0.695 0.055 0.875 1
Co7 0.805 0.945 0.375 1
C2 0.125 0.625 0.875 1
Co8 0.945 0.375 0.805 1
C3 0.875 0.125 0.625 1
Be4 0.183 0.817 0.317 1
Be5 0.067 0.067 0.067 1
Co9 0.625 0.305 0.555 1
Co10 0.055 0.875 0.695 1
C4 0.625 0.875 0.125 1
Co11 0.555 0.625 0.305 1
Be6 0.567 0.433 0.933 1
Be7 0.317 0.183 0.817 1
Be8 0.817 0.317 0.183 1
Co12 0.375 0.805 0.945 1

=====

Entry 2:
# BeCo2C, relaxed, DFT PBE
# ΔE_f in kJ per mole of atoms: 34.65
# Energy in eV per atom: -6.43
# Energy relative to the lowest polymorph listed for this composition in eV/atom: 0.132
data_BeCo2C
_cell_length_a 2.598
_cell_length_b 3.484
_cell_length_c 3.484
_cell_angle_alpha 90.00
_cell_angle_beta 90.00
_cell_angle_gamma 90.00
_symmetry_space_group_name_H-M 'P 1'
_symmetry_Int_Tables_number 1
loop_
_symmetry_equiv_pos_as_xyz
'x,y,z'
loop_
_atom_site_label
_atom_site_fract_x
_atom_site_fract_y
_atom_site_fract_z
_atom_site_occupancy
Co1 0.000 0.000 0.500 1
C1 0.500 0.500 0.500 1
Co2 0.000 0.500 0.000 1
Be1 0.500 0.000 0.000 1

=====

Entry 3:
# BeCo2C, relaxed, DFT PBE
# ΔE_f in kJ per mole of atoms: 21.95
# Energy in eV per atom: -6.56
# Energy relative to the lowest polymorph listed for this composition in eV/atom: 0.000
data_BeCo2C
_cell_length_a 6.366
_cell_length_b 6.366
_cell_length_c 4.878
_cell_angle_alpha 49.27
_cell_angle_beta 49.27
_cell_angle_gamma 90.00
_symmetry_space_group_name_H-M 'P 1'
_symmetry_Int_Tables_number 1
loop_
_symmetry_equiv_pos_as_xyz
'x,y,z'
loop_
_atom_site_label
_atom_site_fract_x
_atom_site_fract_y
_atom_site_fract_z
_atom_site_occupancy
Co1 0.375 0.248 0.750 1
C1 0.750 0.250 0.500 1
Co2 0.752 0.125 0.250 1
C2 0.000 0.000 0.000 1
Be1 0.500 0.500 0.000 1
Be2 0.250 0.750 0.500 1
Co3 0.875 0.002 0.750 1
Co4 0.998 0.625 0.250 1

=====

DOS(E_F) (states/eV/atom)
0.80; 0.37; 0.77